Material: ZrCo2HPt
Method: DFT, PBE
State: relaxed

Cell lengths 3.837, 3.837, 4.028 Å; angles 90.00, 90.00, 90.00 degrees
Element x y z (fractional)
1 Zr 0.000 0.000 0.000
2 Co 0.000 0.500 0.500
3 Co 0.500 0.000 0.500
4 H 0.000 0.000 0.500
5 Pt 0.500 0.500 0.000

Values from the calculation:
DOS(E_F) in states/eV/f.u.: 2.04
Size of the total moment in μB/atom: 0.182
Total energy in eV per cell: -34.10
Space group: P4/mmm
Distance to the lowest polymorph of the same formula in kJ/mol of atoms: 0.0